(1)
Density functional theory data (GGA-PBEsol) for a geometry-optimized KTe2O6 structure.

formation energy from raw total energies: -1.196 eV/atom

```
data_KTe2O6
_space_group_name_H-M_alt 'C 1 2/m 1'
_space_group_IT_number 12
_space_group_name_Hall '-C 2y'
_cell_length_a 12.492
_cell_length_b 7.287
_cell_length_c 12.181
_cell_angle_alpha 90.00
_cell_angle_beta 107.85
_cell_angle_gamma 90.00
loop_
_atom_site_label
_atom_site_type_symbol
_atom_site_fract_x
_atom_site_fract_y
_atom_site_fract_z
_atom_site_occupancy
K1 K 0.052 0.000 0.187 1
K2 K 0.092 0.500 0.697 1
Te1 Te 0.000 0.000 0.500 1
Te2 Te 0.000 0.500 0.000 1
Te3 Te 0.242 0.000 0.763 1
Te4 Te 0.250 0.250 0.000 1
Te5 Te 0.250 0.250 0.500 1
O1 O 0.010 0.500 0.153 1
O2 O 0.085 0.000 0.661 1
O3 O 0.088 0.192 0.457 1
O4 O 0.116 0.297 0.043 1
O5 O 0.164 0.189 0.844 1
O6 O 0.202 0.500 0.518 1
O7 O 0.230 0.282 0.340 1
O8 O 0.241 0.000 0.058 1
```


(2)
Density functional theory data (GGA-PBEsol) for a geometry-optimized NaSn3Bi structure.

total DFT energy (no corrections): -3.09 eV/atom

```
data_NaSn3Bi
_space_group_name_H-M_alt 'P m -3 m'
_space_group_IT_number 221
_space_group_name_Hall '-P 4 2 3'
_cell_length_a 5.336
_cell_length_b 5.336
_cell_length_c 5.336
_cell_angle_alpha 90.00
_cell_angle_beta 90.00
_cell_angle_gamma 90.00
loop_
_atom_site_label
_atom_site_type_symbol
_atom_site_fract_x
_atom_site_fract_y
_atom_site_fract_z
_atom_site_occupancy
Na1 Na 0.000 0.000 0.000 1
Sn1 Sn 0.000 0.000 0.500 1
Bi1 Bi 0.500 0.500 0.500 1
```


(3)
Density functional theory data (GGA-PBEsol) for a geometry-optimized RbTcPt2S structure.

formation energy from raw total energies: 1.200 eV/atom

```
data_RbTcPt2S
_space_group_name_H-M_alt 'P 4/m m m'
_space_group_IT_number 123
_space_group_name_Hall '-P 4 2'
_cell_length_a 4.489
_cell_length_b 4.489
_cell_length_c 5.482
_cell_angle_alpha 90.00
_cell_angle_beta 90.00
_cell_angle_gamma 90.00
loop_
_atom_site_label
_atom_site_type_symbol
_atom_site_fract_x
_atom_site_fract_y
_atom_site_fract_z
_atom_site_occupancy
Rb1 Rb 0.000 0.000 0.000 1
Tc1 Tc 0.500 0.500 0.000 1
Pt1 Pt 0.000 0.500 0.500 1
S1 S 0.000 0.000 0.500 1
```


(4)
Density functional theory data (GGA-PBEsol) for a geometry-optimized Ir2ClF structure.

formation energy from raw total energies: 0.961 eV/atom

```
data_Ir2ClF
_space_group_name_H-M_alt 'F m -3 m'
_space_group_IT_number 225
_space_group_name_Hall '-F 4 2 3'
_cell_length_a 5.904
_cell_length_b 5.904
_cell_length_c 5.904
_cell_angle_alpha 90.00
_cell_angle_beta 90.00
_cell_angle_gamma 90.00
loop_
_atom_site_label
_atom_site_type_symbol
_atom_site_fract_x
_atom_site_fract_y
_atom_site_fract_z
_atom_site_occupancy
Ir1 Ir 0.250 0.250 0.250 1
Cl1 Cl 0.000 0.000 0.000 1
F1 F 0.000 0.000 0.500 1
```


(5)
Density functional theory data (GGA-PBEsol) for a geometry-optimized ZrZn2Ir structure.

total DFT energy (no corrections): -5.93 eV/atom

```
data_ZrZn2Ir
_space_group_name_H-M_alt 'I m m 2'
_space_group_IT_number 44
_space_group_name_Hall 'I 2 -2'
_cell_length_a 4.129
_cell_length_b 4.174
_cell_length_c 7.227
_cell_angle_alpha 90.00
_cell_angle_beta 90.00
_cell_angle_gamma 90.00
loop_
_atom_site_label
_atom_site_type_symbol
_atom_site_fract_x
_atom_site_fract_y
_atom_site_fract_z
_atom_site_occupancy
Zr1 Zr 0.000 0.000 0.000 1
Zn1 Zn 0.000 0.000 0.501 1
Zn2 Zn 0.000 0.500 0.248 1
Ir1 Ir 0.000 0.500 0.751 1
```


(6)
Density functional theory data (GGA-PBEsol) for a geometry-optimized Li2Mn3NiO8 structure.

formation energy from raw total energies: -1.694 eV/atom
energy above the most stable polymorph in this dataset: 0 meV/atom

```
data_Li2Mn3NiO8
_space_group_name_H-M_alt 'P 43 3 2'
_space_group_IT_number 212
_space_group_name_Hall 'P 4acd 2ab 3'
_cell_length_a 8.109
_cell_length_b 8.109
_cell_length_c 8.109
_cell_angle_alpha 90.00
_cell_angle_beta 90.00
_cell_angle_gamma 90.00
loop_
_atom_site_label
_atom_site_type_symbol
_atom_site_fract_x
_atom_site_fract_y
_atom_site_fract_z
_atom_site_occupancy
Li1 Li 0.002 0.002 0.002 1
Mn1 Mn 0.123 0.127 0.625 1
Ni1 Ni 0.125 0.875 0.375 1
O1 O 0.104 0.125 0.392 1
O2 O 0.114 0.614 0.886 1
```


(7)
Density functional theory data (GGA-PBEsol) for a geometry-optimized Hf2CrGe2 structure.

total DFT energy (no corrections): -8.76 eV/atom

```
data_Hf2CrGe2
_space_group_name_H-M_alt 'P 4/m b m'
_space_group_IT_number 127
_space_group_name_Hall '-P 4 2ab'
_cell_length_a 6.527
_cell_length_b 6.527
_cell_length_c 3.834
_cell_angle_alpha 90.00
_cell_angle_beta 90.00
_cell_angle_gamma 90.00
loop_
_atom_site_label
_atom_site_type_symbol
_atom_site_fract_x
_atom_site_fract_y
_atom_site_fract_z
_atom_site_occupancy
Hf1 Hf 0.172 0.328 0.000 1
Cr1 Cr 0.000 0.000 0.500 1
Ge1 Ge 0.136 0.636 0.500 1
```


(8)
Density functional theory data (GGA-PBEsol) for a geometry-optimized CaBS2Cl structure.

formation energy from raw total energies: 0.701 eV/atom

```
data_CaBS2Cl
_space_group_name_H-M_alt 'P 4/m m m'
_space_group_IT_number 123
_space_group_name_Hall '-P 4 2'
_cell_length_a 5.275
_cell_length_b 5.275
_cell_length_c 5.138
_cell_angle_alpha 90.00
_cell_angle_beta 90.00
_cell_angle_gamma 90.00
loop_
_atom_site_label
_atom_site_type_symbol
_atom_site_fract_x
_atom_site_fract_y
_atom_site_fract_z
_atom_site_occupancy
Ca1 Ca 0.000 0.000 0.000 1
B1 B 0.500 0.500 0.500 1
S1 S 0.000 0.500 0.000 1
Cl1 Cl 0.000 0.000 0.500 1
```


(9)
Density functional theory data (GGA-PBEsol) for a geometry-optimized SmSb2Au structure.

formation energy from raw total energies: -0.737 eV/atom

```
data_SmSb2Au
_space_group_name_H-M_alt 'P 4/n m m'
_space_group_IT_number 129
_cell_length_a 4.372
_cell_length_b 4.372
_cell_length_c 9.992
_cell_angle_alpha 90.00
_cell_angle_beta 90.00
_cell_angle_gamma 90.00
loop_
_space_group_symop_operation_xyz
'x,y,z'
'-x,-y,-z'
'-y+1/2,x,z'
'y+1/2,-x,-z'
'-x+1/2,-y+1/2,z'
'x+1/2,y+1/2,-z'
'y,-x+1/2,z'
'-y,x+1/2,-z'
'x+1/2,-y,-z'
'-x+1/2,y,z'
'-y,-x,-z'
'y,x,z'
'-x,y+1/2,-z'
'x,-y+1/2,z'
'y+1/2,x+1/2,-z'
'-y+1/2,-x+1/2,z'
loop_
_atom_site_label
_atom_site_type_symbol
_atom_site_fract_x
_atom_site_fract_y
_atom_site_fract_z
_atom_site_occupancy
Sm1 Sm 0.250 0.250 0.247 1
Sb1 Sb 0.250 0.250 0.682 1
Sb2 Sb 0.250 0.750 0.000 1
Au1 Au 0.250 0.750 0.500 1
```


(10)
Density functional theory data (GGA-PBEsol) for a geometry-optimized MgCSe2 structure.

formation energy from raw total energies: 1.110 eV/atom
energy above the most stable polymorph in this dataset: 570 meV/atom

```
data_MgCSe2
_space_group_name_H-M_alt 'F m -3 m'
_space_group_IT_number 225
_space_group_name_Hall '-F 4 2 3'
_cell_length_a 6.408
_cell_length_b 6.408
_cell_length_c 6.408
_cell_angle_alpha 90.00
_cell_angle_beta 90.00
_cell_angle_gamma 90.00
loop_
_atom_site_label
_atom_site_type_symbol
_atom_site_fract_x
_atom_site_fract_y
_atom_site_fract_z
_atom_site_occupancy
Mg1 Mg 0.000 0.000 0.000 1
C1 C 0.000 0.000 0.500 1
Se1 Se 0.250 0.250 0.250 1
```


(11)
Density functional theory data (GGA-PBEsol) for a geometry-optimized AgMoSe structure.

formation energy from raw total energies: 0.071 eV/atom
energy above the most stable polymorph in this dataset: 0 meV/atom

```
data_AgMoSe
_space_group_name_H-M_alt 'P 3 m 1'
_space_group_IT_number 156
_space_group_name_Hall 'P 3 -2"'
_cell_length_a 3.0270
_cell_length_b 3.0270
_cell_length_c 6.7083
_cell_angle_alpha 90.00
_cell_angle_beta 90.00
_cell_angle_gamma 120.00
loop_
_atom_site_label
_atom_site_type_symbol
_atom_site_fract_x
_atom_site_fract_y
_atom_site_fract_z
_atom_site_occupancy
Ag1 Ag 0.0000 0.0000 0.0000 1
Mo1 Mo 0.6667 0.3333 0.6559 1
Se1 Se 0.3333 0.6667 0.3979 1
```


Number 1: volume 14.7 Å³ per atom, calculated density 4.91 Mg/m³. Number 2: volume 30.4 Å³ per atom, calculated density 6.43 Mg/m³. Number 3: volume 22.1 Å³ per atom, calculated density 9.11 Mg/m³. Number 4: volume 12.9 Å³ per atom, calculated density 14.16 Mg/m³. Number 5: volume 15.6 Å³ per atom, calculated density 11.04 Mg/m³. Number 6: volume 9.5 Å³ per atom, calculated density 4.55 Mg/m³. Number 7: volume 16.3 Å³ per atom, calculated density 11.27 Mg/m³. Number 8: volume 28.6 Å³ per atom, calculated density 1.75 Mg/m³. Number 9: volume 23.9 Å³ per atom, calculated density 10.28 Mg/m³. Number 10: volume 16.4 Å³ per atom, calculated density 4.90 Mg/m³. Number 11: volume 17.7 Å³ per atom, calculated density 8.82 Mg/m³.